The following is a GGA+U calculation of crystalline Y2Cr3O12 at its relaxed geometry, from the Alexandria database.

Results
Density of states at the Fermi level (states/eV/cell): 0.00
Energy above the most stable polymorph in this dataset (meV/atom): 33
V (Å³ per cell): 456.0
Total magnetization (μB/cell): 0.00

Lattice parameters (Å, degrees): 5.0947 6.8570 14.2329 84.27 80.23 68.66
Last column: nearest neighbours and their distance in Å.
Atoms (fractional coordinates):
1 Y 0.3633 0.1301 0.1267  8 O 2.33-2.55
2 Y 0.3796 0.7942 0.4538  8 O 2.31-2.56
3 Y 0.6367 0.8699 0.8733  8 O 2.33-2.55
4 Y 0.6204 0.2058 0.5462  8 O 2.31-2.56
5 Cr 0.9035 0.2745 0.9523  4 O 1.65-1.72
6 Cr 0.8473 0.9825 0.2983  4 O 1.64-1.73
7 Cr 0.8728 0.6199 0.6207  4 O 1.63-1.72
8 Cr 0.1527 0.0175 0.7017  4 O 1.64-1.73
9 Cr 0.0965 0.7255 0.0477  4 O 1.65-1.72
10 Cr 0.1272 0.3801 0.3793  4 O 1.63-1.72
11 O 0.8367 0.1852 0.6787  1 Cr 1.67
12 O 0.7490 0.8604 0.0307  1 Cr 1.72
13 O 0.8230 0.5706 0.3702  1 Cr 1.64
14 O 0.8667 0.5139 0.9080  1 Cr 1.65
15 O 0.9043 0.1867 0.2422  1 Cr 1.64
16 O 0.9506 0.8223 0.5565  1 Cr 1.72
17 O 0.3256 0.0988 0.7691  1 Cr 1.66
18 O 0.2004 0.8521 0.1179  1 Cr 1.65
19 O 0.3326 0.4568 0.4407  1 Cr 1.71
20 O 0.7000 0.6886 0.7269  1 Cr 1.63
21 O 0.7063 0.2796 0.0581  1 Cr 1.66
22 O 0.6352 0.0249 0.4086  1 Cr 1.73
23 O 0.2937 0.7204 0.9419  1 Cr 1.66
24 O 0.3000 0.3114 0.2731  1 Cr 1.63
25 O 0.3648 0.9751 0.5914  1 Cr 1.73
26 O 0.0957 0.8133 0.7578  1 Cr 1.64
27 O 0.1333 0.4861 0.0920  1 Cr 1.65
28 O 0.0494 0.1777 0.4435  1 Cr 1.72
29 O 0.2510 0.1396 0.9693  1 Cr 1.72
30 O 0.1633 0.8148 0.3213  1 Cr 1.67
31 O 0.1770 0.4294 0.6298  1 Cr 1.64
32 O 0.7996 0.1479 0.8821  1 Cr 1.65
33 O 0.6744 0.9012 0.2309  1 Cr 1.66
34 O 0.6674 0.5432 0.5593  1 Cr 1.71